[1]
# PBE Zr2ZnRh3, relaxed
data_Zr2ZnRh3
_cell_length_a 4.5508
_cell_length_b 4.5508
_cell_length_c 11.1340
_cell_angle_alpha 90.00
_cell_angle_beta 90.00
_cell_angle_gamma 120.00
_space_group_name_H-M_alt 'P -3 m 1'
_space_group_IT_number 164
_space_group_name_Hall '-P 3 2"'
loop_
_atom_site_label
_atom_site_type_symbol
_atom_site_fract_x
_atom_site_fract_y
_atom_site_fract_z
Zr1 Zr 0.0000 0.0000 0.0000
Zr2 Zr 0.0000 0.0000 0.5000
Zr3 Zr 0.3333 0.6667 0.1843
Zn1 Zn 0.3333 0.6667 0.6654
Rh1 Rh 0.0000 0.0000 0.2499
Rh2 Rh 0.3333 0.6667 0.4224
Rh3 Rh 0.3333 0.6667 0.9204
# V in Å³/cell: 199.7
# Calculated formation energy in kJ/mol of formula units: -434



[2]
# PBE ZrRh4, relaxed
data_ZrRh4
_cell_length_a 4.730
_cell_length_b 4.730
_cell_length_c 4.730
_cell_angle_alpha 90.00
_cell_angle_beta 90.00
_cell_angle_gamma 90.00
_space_group_name_H-M_alt 'P m -3 m'
_space_group_IT_number 221
_space_group_name_Hall '-P 4 2 3'
loop_
_atom_site_label
_atom_site_type_symbol
_atom_site_fract_x
_atom_site_fract_y
_atom_site_fract_z
Zr1 Zr 0.000 0.000 0.000
Rh1 Rh 0.000 0.000 0.500
Rh2 Rh 0.500 0.500 0.500
# V in Å³/cell: 105.8
# Calculated formation energy in kJ/mol of formula units: 586



Question: What is the V in the first record?
Answer: 199.7 Å³/cell